Here is crystalline SrV3Ag at its relaxed geometry from Alexandria via LeMat-Bulk. Energies are from PBE.

Summary:
- formation energy from the elements (kJ/mol of formula units) = 1162

The structure in POSCAR format:
```
SrV3Ag
1.0
4.541 0.000 0.000
0.000 4.541 0.000
0.000 0.000 4.541
Sr Ag V
1 1 3
Cartesian
0.000 0.000 0.000 Sr
2.270 2.270 2.270 Ag
0.000 2.270 0.000 V
0.000 0.000 2.270 V
2.270 0.000 0.000 V
```

***

Here is crystalline SrVAg3 at its relaxed geometry from Alexandria via LeMat-Bulk. Energies are from PBE.

Summary:
- formation energy from the elements (kJ/mol of formula units) = 225

The structure in POSCAR format:
```
SrVAg3
1.0
-4.702 -0.975 -1.785
-1.497 -1.384 4.699
-1.376 4.835 0.985
Sr Ag V
1 3 1
Cartesian
-3.787 1.238 1.950 Sr
-0.749 -0.692 2.350 Ag
-0.688 2.417 0.493 Ag
-2.351 -0.487 -0.892 Ag
0.000 0.000 0.000 V
```

***

Here is crystalline SrV3Ag at its relaxed geometry from Alexandria via LeMat-Bulk. Energies are from PBE.

Summary:
- formation energy from the elements (kJ/mol of formula units) = 642

The structure in POSCAR format:
```
SrV3Ag
1.0
5.112 0.000 0.000
0.000 5.112 0.000
0.000 0.000 5.112
Sr Ag V
1 1 3
Cartesian
2.556 2.556 2.556 Sr
0.000 0.000 0.000 Ag
0.000 2.556 0.000 V
0.000 0.000 2.556 V
2.556 0.000 0.000 V
```

***

Here is crystalline Sr3VAg at its relaxed geometry from Alexandria via LeMat-Bulk. Energies are from PBE.

Summary:
- formation energy from the elements (kJ/mol of formula units) = 268

The structure in POSCAR format:
```
Sr3VAg
1.0
6.021 0.000 0.000
0.000 6.021 0.000
0.000 0.000 6.021
Sr Ag V
3 1 1
Cartesian
0.000 3.011 0.000 Sr
0.000 0.000 3.011 Sr
3.011 0.000 0.000 Sr
0.000 0.000 0.000 Ag
3.011 3.011 3.011 V
```

***

Here is crystalline SrVZn2Ag at its relaxed geometry from Alexandria via LeMat-Bulk. Energies are from PBE.

Summary:
- formation energy from the elements (kJ/mol of formula units) = 159

The structure in POSCAR format:
```
SrVZn2Ag
1.0
-0.809 0.978 4.801
4.141 -2.796 1.267
2.845 4.056 -0.347
Sr Zn Ag V
1 2 1 1
Cartesian
3.089 1.120 2.861 Sr
1.422 2.028 -0.174 Zn
-0.404 0.489 2.401 Zn
2.071 -1.398 0.634 Ag
0.000 0.000 0.000 V
```

***

Here is crystalline Sr2AgW at its relaxed geometry from Alexandria via LeMat-Bulk. Energies are from PBE.

Summary:
- formation energy from the elements (kJ/mol of formula units) = 374

The structure in POSCAR format:
```
Sr2AgW
1.0
10.791 -0.009 -0.005
10.272 3.306 -0.005
10.272 1.608 2.888
Ag Sr W
1 2 1
Cartesian
23.502 3.678 2.158 Ag
31.266 4.894 2.871 Sr
15.737 2.463 1.445 Sr
7.834 1.226 0.719 W
```

***

Here is crystalline SrAgW2 at its relaxed geometry from Alexandria via LeMat-Bulk. Energies are from PBE.

Summary:
- formation energy from the elements (kJ/mol of formula units) = 549

The structure in POSCAR format:
```
SrAgW2
1.0
4.732 0.000 0.000
0.000 4.732 0.000
2.366 2.366 9.980
Sr Ag W
2 2 4
Cartesian
2.366 2.366 0.000 Sr
2.366 4.732 4.990 Sr
0.000 0.000 0.000 Ag
4.732 2.366 4.990 Ag
4.833 1.183 2.495 W
4.630 3.549 2.495 W
3.549 2.264 7.485 W
5.914 2.468 7.485 W
```

***

Here is crystalline SrAgW2 at its relaxed geometry from Alexandria via LeMat-Bulk. Energies are from PBE.

Summary:
- formation energy from the elements (kJ/mol of formula units) = 389

The structure in POSCAR format:
```
SrAgW2
1.0
-4.515 3.142 0.219
-1.102 -1.728 2.074
2.045 2.671 3.846
Ag Sr W
1 1 2
Cartesian
-2.021 1.807 1.590 Ag
-1.550 2.279 4.550 Sr
-0.128 -0.202 0.248 W
0.600 0.674 2.712 W
```

***

Here is crystalline SrAg2W at its relaxed geometry from Alexandria via LeMat-Bulk. Energies are from PBE.

Summary:
- formation energy from the elements (kJ/mol of formula units) = 293

The structure in POSCAR format:
```
SrAg2W
1.0
4.954 -0.002 -0.005
4.098 2.784 -0.005
0.684 0.210 6.430
Ag Sr W
2 1 1
Cartesian
9.017 2.771 0.387 Ag
4.903 1.507 2.813 Ag
7.302 2.244 4.815 Sr
2.434 0.748 1.605 W
```

***

Here is crystalline SrAgW2 at its relaxed geometry from Alexandria via LeMat-Bulk. Energies are from PBE.

Summary:
- formation energy from the elements (kJ/mol of formula units) = 413

The structure in POSCAR format:
```
SrAgW2
1.0
4.810 -0.009 0.000
0.018 4.810 0.000
-2.414 -2.400 3.398
Ag Sr W
1 1 2
Cartesian
2.414 2.400 0.000 Ag
2.405 -0.004 1.699 Sr
0.000 0.000 0.000 W
0.009 2.405 1.699 W
```

***

Here is crystalline SrAg2W at its relaxed geometry from Alexandria via LeMat-Bulk. Energies are from PBE.

Summary:
- formation energy from the elements (kJ/mol of formula units) = 292

The structure in POSCAR format:
```
SrAg2W
1.0
5.743 0.070 0.357
4.975 2.870 0.357
1.388 0.381 5.244
Ag Sr W
2 1 1
Cartesian
0.190 0.052 0.330 Ag
8.819 2.419 4.246 Ag
6.063 1.663 3.296 Sr
3.087 0.847 1.064 W
```

***

Here is crystalline Sr4AgW at its relaxed geometry from Alexandria via LeMat-Bulk. Energies are from PBE.

Summary:
- formation energy from the elements (kJ/mol of formula units) = 752

The structure in POSCAR format:
```
Sr4AgW
1.0
-5.882 -0.088 3.539
-4.514 5.123 -0.716
-5.946 -1.094 -3.252
Sr Ag W
4 1 1
Cartesian
-9.065 1.436 1.601 Sr
-9.097 0.935 -1.781 Sr
-8.384 4.031 -0.517 Sr
-6.136 1.480 -0.161 Sr
0.000 0.000 0.000 Ag
-12.256 2.955 -0.322 W
```

***

Here is crystalline SrAgW2 at its relaxed geometry from Alexandria via LeMat-Bulk. Energies are from PBE.

Summary:
- formation energy from the elements (kJ/mol of formula units) = 347

The structure in POSCAR format:
```
SrAgW2
1.0
6.358 0.010 0.044
5.738 2.739 0.044
1.974 0.449 4.650
Ag Sr W
1 1 2
Cartesian
10.553 2.398 3.553 Ag
3.518 0.799 1.184 Sr
2.215 0.503 4.542 W
6.795 1.544 2.477 W
```

***

Here is crystalline SrAg2W at its relaxed geometry from Alexandria via LeMat-Bulk. Energies are from PBE.

Summary:
- formation energy from the elements (kJ/mol of formula units) = 400

The structure in POSCAR format:
```
SrAg2W
1.0
-4.713 0.104 -1.715
-0.934 -0.982 -4.830
-2.293 -4.270 -1.294
Ag Sr W
2 1 1
Cartesian
0.000 0.000 0.000 Ag
-1.985 -1.287 -1.960 Ag
-3.970 -2.574 -3.919 Sr
-5.955 -3.861 -5.879 W
```

***

Here is crystalline SrAg2W at its relaxed geometry from Alexandria via LeMat-Bulk. Energies are from PBE.

Summary:
- formation energy from the elements (kJ/mol of formula units) = 442

The structure in POSCAR format:
```
SrAg2W
1.0
-3.028 -1.758 -3.527
3.858 -0.415 -3.105
1.950 -9.919 -0.231
Sr Ag W
2 4 2
Cartesian
0.415 -1.086 -3.316 Sr
3.111 -5.710 -3.326 Sr
-1.343 -3.874 -3.140 Ag
-0.088 -4.473 -5.477 Ag
1.238 -8.196 -2.230 Ag
-1.134 -8.983 -3.302 Ag
0.000 0.000 0.000 W
-0.332 -6.382 -3.537 W
```

***

Here is crystalline SrAgW2 at its relaxed geometry from Alexandria via LeMat-Bulk. Energies are from PBE.

Summary:
- formation energy from the elements (kJ/mol of formula units) = 381

The structure in POSCAR format:
```
SrAgW2
1.0
5.882 -0.006 0.011
2.460 5.343 -0.011
-3.418 -3.845 2.851
Ag Sr W
1 1 2
Cartesian
4.374 2.798 0.000 Ag
1.555 2.050 1.420 Sr
7.967 5.097 0.000 W
3.541 -0.448 1.431 W
```

***

Here is crystalline SrAg2W at its relaxed geometry from Alexandria via LeMat-Bulk. Energies are from PBE.

Summary:
- formation energy from the elements (kJ/mol of formula units) = 254

The structure in POSCAR format:
```
SrAg2W
1.0
-1.588 -1.069 -2.316
-2.007 -1.160 1.912
-4.750 7.714 -0.304
Ag Sr W
2 1 1
Cartesian
-4.591 7.455 -0.294 Ag
-2.534 4.115 -0.162 Ag
-2.985 0.814 -0.278 Sr
-5.360 4.671 -0.430 W
```

***

Here is crystalline Sr2AgW at its relaxed geometry from Alexandria via LeMat-Bulk. Energies are from PBE.

Summary:
- formation energy from the elements (kJ/mol of formula units) = 390

The structure in POSCAR format:
```
Sr2AgW
1.0
-0.815 6.027 -1.129
-5.830 1.660 -1.230
2.792 -3.309 4.418
Ag Sr W
1 2 1
Cartesian
-0.673 3.281 1.055 Ag
0.000 0.000 0.000 Sr
-3.180 1.097 1.004 Sr
-3.323 3.843 -1.179 W
```

***

Here is crystalline SrAg2W at its relaxed geometry from Alexandria via LeMat-Bulk. Energies are from PBE.

Summary:
- formation energy from the elements (kJ/mol of formula units) = 372

The structure in POSCAR format:
```
SrAg2W
1.0
-3.945 -2.281 -3.288
-1.473 -5.208 1.513
0.523 4.893 2.713
Ag Sr W
2 1 1
Cartesian
0.000 0.000 0.000 Ag
-3.065 -0.566 -0.731 Ag
-2.709 -3.744 -0.888 Sr
-1.830 -2.029 1.669 W
```

***

Here is crystalline SrAgW at its relaxed geometry from Alexandria via LeMat-Bulk. Energies are from PBE.

Summary:
- formation energy from the elements (kJ/mol of formula units) = 286

The structure in POSCAR format:
```
SrAgW
1.0
6.361 0.000 -0.001
4.347 4.644 0.001
-5.008 -3.120 2.376
Ag Sr W
1 1 1
Cartesian
10.334 4.482 0.000 Ag
7.120 3.088 0.000 Sr
3.962 1.718 0.000 W
```